VASP calculation (GGA-PBE) on an optimized crystal structure of Y2Nb4Zn3C3.

- Energy: -7.51 eV/atom
- Symmetry: C2/c, No. 15
- Magnetization: 0.000 μB per atom
- V: 192.4 Å³/f.u.

Lattice parameters (Å, degrees): 5.6403 5.6403 14.3535 101.61 101.61 60.05
Closest atoms and distances in Å follow each position.
Fractional positions:
Y (0.0401, 0.8783, 0.6160)  3 C 2.51
Y (0.1217, 0.9599, 0.8840)  3 C 2.51
Y (0.8783, 0.0401, 0.1160)  3 C 2.51
Y (0.9599, 0.1217, 0.3840)  3 C 2.51
Nb (0.1925, 0.3517, 0.0803)  3 C 2.16-2.19
Nb (0.2966, 0.4838, 0.4197)  3 C 2.16-2.19
Nb (0.3517, 0.1925, 0.5803)  3 C 2.16-2.19
Nb (0.4838, 0.2966, 0.9197)  3 C 2.16-2.19
Nb (0.5162, 0.7034, 0.0803)  3 C 2.16-2.19
Nb (0.6483, 0.8075, 0.4197)  3 C 2.16-2.19
Nb (0.7034, 0.5162, 0.5803)  3 C 2.16-2.19
Nb (0.8075, 0.6483, 0.9197)  3 C 2.16-2.19
Zn (0.0860, 0.4050, 0.7519)  4 Zn 2.82, 4 Nb 2.86-2.87
Zn (0.4050, 0.0860, 0.2519)  4 Zn 2.82, 4 Nb 2.86-2.87
Zn (0.4251, 0.5749, 0.2500)  4 Zn 2.82, 4 Nb 2.88-2.89
Zn (0.5749, 0.4251, 0.7500)  4 Zn 2.82, 4 Nb 2.88-2.89
Zn (0.5950, 0.9140, 0.7481)  4 Zn 2.82, 4 Nb 2.86-2.87
Zn (0.9140, 0.5950, 0.2481)  4 Zn 2.82, 4 Nb 2.86-2.87
C (0.0000, 0.5000, 0.5000)  4 Nb 2.17
C (0.1731, 0.6542, 0.0000)  4 Nb 2.16-2.19
C (0.3458, 0.8269, 0.5000)  4 Nb 2.16-2.19
C (0.5000, 0.0000, 0.0000)  4 Nb 2.17
C (0.6542, 0.1731, 0.5000)  4 Nb 2.16-2.19
C (0.8269, 0.3458, 0.0000)  4 Nb 2.16-2.19

***

VASP calculation (GGA-PBE) on an optimized crystal structure of Nb4Zn2C.

- Energy: -7.65 eV/atom
- Symmetry: Fd-3m, No. 227
- Magnetization: 0.000 μB per atom
- V: 106.7 Å³/f.u.

Lattice parameters (Å, degrees): 8.4516 8.4516 8.4516 60.00 60.00 60.00
Closest atoms and distances in Å follow each position.
Fractional positions:
Nb (0.0000, 0.0000, 0.0000)  6 Zn 2.63
Nb (0.0000, 0.0000, 0.5000)  6 Zn 2.63
Nb (0.0000, 0.5000, 0.0000)  6 Zn 2.63
Nb (0.1852, 0.1852, 0.5648)  2 C 2.25
Nb (0.1852, 0.5648, 0.1852)  2 C 2.25
Nb (0.1852, 0.5648, 0.5648)  2 C 2.25
Nb (0.4352, 0.4352, 0.8148)  2 C 2.25
Nb (0.4352, 0.8148, 0.4352)  2 C 2.25
Nb (0.4352, 0.8148, 0.8148)  2 C 2.25
Nb (0.5000, 0.0000, 0.0000)  6 Zn 2.63
Nb (0.5648, 0.1852, 0.1852)  2 C 2.25
Nb (0.5648, 0.1852, 0.5648)  2 C 2.25
Nb (0.5648, 0.5648, 0.1852)  2 C 2.25
Nb (0.8148, 0.4352, 0.4352)  2 C 2.25
Nb (0.8148, 0.4352, 0.8148)  2 C 2.25
Nb (0.8148, 0.8148, 0.4352)  2 C 2.25
Zn (0.1422, 0.7859, 0.7859)  6 Nb 2.63-2.74
Zn (0.2141, 0.2141, 0.2141)  6 Nb 2.63-2.74
Zn (0.2141, 0.2141, 0.8578)  6 Nb 2.63-2.74
Zn (0.2141, 0.8578, 0.2141)  6 Nb 2.63-2.74
Zn (0.7859, 0.1422, 0.7859)  6 Nb 2.63-2.74
Zn (0.7859, 0.7859, 0.1422)  6 Nb 2.63-2.74
Zn (0.7859, 0.7859, 0.7859)  6 Nb 2.63-2.74
Zn (0.8578, 0.2141, 0.2141)  6 Nb 2.63-2.74
C (0.0000, 0.5000, 0.5000)  6 Nb 2.25
C (0.5000, 0.0000, 0.5000)  6 Nb 2.25
C (0.5000, 0.5000, 0.0000)  6 Nb 2.25
C (0.5000, 0.5000, 0.5000)  6 Nb 2.25

***

VASP calculation (GGA-PBE) on an optimized crystal structure of Nb4ZnC3.

- Energy: -9.12 eV/atom
- Symmetry: P6_3/mmc, No. 194
- Magnetization: 0.000 μB per atom
- V: 104.5 Å³/f.u.

Lattice parameters (Å, degrees): 3.1598 3.1598 24.1831 90.00 90.00 120.00
Closest atoms and distances in Å follow each position.
Fractional positions:
Nb (0.0000, 0.0000, 0.1584)  3 C 2.17
Nb (0.0000, 0.0000, 0.3416)  3 C 2.17
Nb (0.0000, 0.0000, 0.6584)  3 C 2.17
Nb (0.0000, 0.0000, 0.8416)  3 C 2.17
Nb (0.3333, 0.6667, 0.0556)  6 C 2.25-2.27
Nb (0.3333, 0.6667, 0.4444)  6 C 2.25-2.27
Nb (0.6667, 0.3333, 0.5556)  6 C 2.25-2.27
Nb (0.6667, 0.3333, 0.9444)  6 C 2.25-2.27
Zn (0.3333, 0.6667, 0.2500)  6 Nb 2.87, 6 Zn 3.16
Zn (0.6667, 0.3333, 0.7500)  6 Nb 2.87, 6 Zn 3.16
C (0.0000, 0.0000, 0.0000)  6 Nb 2.27
C (0.0000, 0.0000, 0.5000)  6 Nb 2.27
C (0.3333, 0.6667, 0.6102)  6 Nb 2.17-2.25
C (0.3333, 0.6667, 0.8898)  6 Nb 2.17-2.25
C (0.6667, 0.3333, 0.1102)  6 Nb 2.17-2.25
C (0.6667, 0.3333, 0.3898)  6 Nb 2.17-2.25

***

VASP calculation (GGA-PBE) on an optimized crystal structure of Nb2ZnC.

- Energy: -8.02 eV/atom
- Symmetry: P6_3/mmc, No. 194
- Magnetization: 0.001 μB per atom
- V: 59.1 Å³/f.u.

Lattice parameters (Å, degrees): 3.1543 3.1543 13.7256 90.00 90.00 120.00
Closest atoms and distances in Å follow each position.
Fractional positions:
Nb (0.3333, 0.6667, 0.0883)  3 C 2.19
Nb (0.3333, 0.6667, 0.4117)  3 C 2.19
Nb (0.6667, 0.3333, 0.5883)  3 C 2.19
Nb (0.6667, 0.3333, 0.9117)  3 C 2.19
Zn (0.3333, 0.6667, 0.7500)  6 Nb 2.87, 6 Zn 3.15
Zn (0.6667, 0.3333, 0.2500)  6 Nb 2.87, 6 Zn 3.15
C (0.0000, 0.0000, 0.0000)  6 Nb 2.19
C (0.0000, 0.0000, 0.5000)  6 Nb 2.19

***

VASP calculation (GGA-PBE) on an optimized crystal structure of Nb2ZnC.

- Energy: -8.02 eV/atom
- Symmetry: C2/c, No. 15
- Magnetization: 0.000 μB per atom
- V: 59.2 Å³/f.u.

Lattice parameters (Å, degrees): 5.4662 5.4662 14.0776 101.16 101.16 59.99
Closest atoms and distances in Å follow each position.
Fractional positions:
Nb (0.0296, 0.8628, 0.5887)  3 C 2.19
Nb (0.1372, 0.9704, 0.9113)  3 C 2.19
Nb (0.1956, 0.3625, 0.0878)  3 C 2.18-2.19
Nb (0.3041, 0.4710, 0.4122)  3 C 2.18-2.19
Nb (0.3625, 0.1956, 0.5878)  3 C 2.18-2.19
Nb (0.4710, 0.3041, 0.9122)  3 C 2.18-2.19
Nb (0.5290, 0.6959, 0.0878)  3 C 2.18-2.19
Nb (0.6375, 0.8044, 0.4122)  3 C 2.18-2.19
Nb (0.6959, 0.5290, 0.5878)  3 C 2.18-2.19
Nb (0.8044, 0.6375, 0.9122)  3 C 2.18-2.19
Nb (0.8628, 0.0296, 0.0887)  3 C 2.19
Nb (0.9704, 0.1372, 0.4113)  3 C 2.19
Zn (0.0832, 0.2568, 0.7499)  6 Nb 2.86-2.89, 4 Zn 3.12
Zn (0.2568, 0.0832, 0.2499)  6 Nb 2.86-2.89, 4 Zn 3.12
Zn (0.4234, 0.5766, 0.7500)  6 Nb 2.86-2.89, 4 Zn 3.12
Zn (0.5766, 0.4234, 0.2500)  6 Nb 2.86-2.89, 4 Zn 3.12
Zn (0.7432, 0.9168, 0.7501)  6 Nb 2.86-2.89, 4 Zn 3.12
Zn (0.9168, 0.7432, 0.2501)  6 Nb 2.86-2.89, 4 Zn 3.12
C (0.0000, 0.5000, 0.5000)  6 Nb 2.18-2.19
C (0.1663, 0.6675, 0.0000)  6 Nb 2.18-2.19
C (0.3325, 0.8337, 0.5000)  6 Nb 2.18-2.19
C (0.5000, 0.0000, 0.0000)  6 Nb 2.18-2.19
C (0.6675, 0.1663, 0.5000)  6 Nb 2.18-2.19
C (0.8337, 0.3325, 0.0000)  6 Nb 2.18-2.19

***

VASP calculation (GGA-PBE) on an optimized crystal structure of Nb3ZnC2.

- Energy: -8.74 eV/atom
- Symmetry: P6_3/mmc, No. 194
- Magnetization: 0.000 μB per atom
- V: 82.1 Å³/f.u.

Lattice parameters (Å, degrees): 3.1862 3.1862 18.6839 90.00 90.00 120.00
Closest atoms and distances in Å follow each position.
Fractional positions:
Nb (0.0000, 0.0000, 0.0000)  6 C 2.28
Nb (0.0000, 0.0000, 0.5000)  6 C 2.28
Nb (0.3333, 0.6667, 0.1324)  3 C 2.16
Nb (0.3333, 0.6667, 0.3676)  3 C 2.16
Nb (0.6667, 0.3333, 0.6324)  3 C 2.16
Nb (0.6667, 0.3333, 0.8676)  3 C 2.16
Zn (0.0000, 0.0000, 0.2500)  6 Nb 2.87, 6 Zn 3.19
Zn (0.0000, 0.0000, 0.7500)  6 Nb 2.87, 6 Zn 3.19
C (0.3333, 0.6667, 0.5721)  6 Nb 2.16-2.28
C (0.3333, 0.6667, 0.9279)  6 Nb 2.16-2.28
C (0.6667, 0.3333, 0.0721)  6 Nb 2.16-2.28
C (0.6667, 0.3333, 0.4279)  6 Nb 2.16-2.28

***

VASP calculation (GGA-PBE) on an optimized crystal structure of Zr2Nb4Zn3C3.

- Energy: -7.88 eV/atom
- Symmetry: C2/c, No. 15
- Magnetization: 0.000 μB per atom
- V: 183.8 Å³/f.u.

Lattice parameters (Å, degrees): 5.5215 5.5215 14.3129 101.36 101.36 59.90
Closest atoms and distances in Å follow each position.
Fractional positions:
Zr (0.0358, 0.8734, 0.6041)  3 C 2.33-2.36
Zr (0.1266, 0.9642, 0.8959)  3 C 2.33-2.36
Zr (0.8734, 0.0358, 0.1041)  3 C 2.33-2.36
Zr (0.9642, 0.1266, 0.3959)  3 C 2.33-2.36
Nb (0.1946, 0.3559, 0.0830)  3 C 2.16-2.20
Nb (0.2991, 0.4781, 0.4170)  3 C 2.16-2.20
Nb (0.3559, 0.1946, 0.5830)  3 C 2.16-2.20
Nb (0.4781, 0.2991, 0.9170)  3 C 2.16-2.20
Nb (0.5219, 0.7009, 0.0830)  3 C 2.16-2.20
Nb (0.6441, 0.8054, 0.4170)  3 C 2.16-2.20
Nb (0.7009, 0.5219, 0.5830)  3 C 2.16-2.20
Nb (0.8054, 0.6441, 0.9170)  3 C 2.16-2.20
Zn (0.0847, 0.3860, 0.7516)  4 Zn 2.77-2.78, 4 Nb 2.81-2.83
Zn (0.3860, 0.0847, 0.2516)  4 Zn 2.77-2.78, 4 Nb 2.81-2.83
Zn (0.4464, 0.5536, 0.2500)  4 Zn 2.78, 4 Nb 2.83-2.84
Zn (0.5536, 0.4464, 0.7500)  4 Zn 2.78, 4 Nb 2.83-2.84
Zn (0.6140, 0.9153, 0.7484)  4 Zn 2.77-2.78, 4 Nb 2.81-2.83
Zn (0.9153, 0.6140, 0.2484)  4 Zn 2.77-2.78, 4 Nb 2.81-2.83
C (0.0000, 0.5000, 0.5000)  4 Nb 2.16, 2 Zr 2.36
C (0.1665, 0.6668, 0.0000)  4 Nb 2.16-2.20, 2 Zr 2.33
C (0.3332, 0.8335, 0.5000)  4 Nb 2.16-2.20, 2 Zr 2.33
C (0.5000, 0.0000, 0.0000)  4 Nb 2.16, 2 Zr 2.36
C (0.6668, 0.1665, 0.5000)  4 Nb 2.16-2.20, 2 Zr 2.33
C (0.8335, 0.3332, 0.0000)  4 Nb 2.16-2.20, 2 Zr 2.33

***

VASP calculation (GGA-PBE) on an optimized crystal structure of ZrNbC2.

- Energy: -9.90 eV/atom
- Symmetry: P4/mmm, No. 123
- Magnetization: 0.000 μB per atom
- V: 48.8 Å³/f.u.

Lattice parameters (Å, degrees): 3.2582 3.2582 4.5929 90.00 90.00 90.00
Closest atoms and distances in Å follow each position.
Fractional positions:
Zr (0.0000, 0.0000, 0.0000)  6 C 2.30
Nb (0.5000, 0.5000, 0.5000)  6 C 2.30
C (0.0000, 0.0000, 0.5000)  2 Zr 2.30, 4 Nb 2.30
C (0.5000, 0.5000, 0.0000)  2 Nb 2.30, 4 Zr 2.30

***

VASP calculation (GGA-PBE) on an optimized crystal structure of ZrNb3C.

- Energy: -9.74 eV/atom
- Symmetry: Pm-3m, No. 221
- Magnetization: 0.000 μB per atom
- V: 85.5 Å³/f.u.

Lattice parameters (Å, degrees): 4.4060 4.4060 4.4060 90.00 90.00 90.00
Closest atoms and distances in Å follow each position.
Fractional positions:
Zr (0.0000, 0.0000, 0.0000)  12 Nb 3.12
Nb (0.0000, 0.5000, 0.5000)  2 C 2.20
Nb (0.5000, 0.0000, 0.5000)  2 C 2.20
Nb (0.5000, 0.5000, 0.0000)  2 C 2.20
C (0.5000, 0.5000, 0.5000)  6 Nb 2.20

***

VASP calculation (GGA-PBE) on an optimized crystal structure of Nd2C3.

- Energy: -7.61 eV/atom
- Symmetry: I-43d, No. 220
- Magnetization: 0.000 μB per atom
- V: 79.3 Å³/f.u.

Lattice parameters (Å, degrees): 7.4416 7.4416 7.4416 109.47 109.47 109.47
Closest atoms and distances in Å follow each position.
Fractional positions:
Nd (0.0000, 0.1034, 0.5000)  9 C 2.63-2.93
Nd (0.0000, 0.6034, 0.5000)  9 C 2.63-2.93
Nd (0.1034, 0.5000, 0.0000)  9 C 2.63-2.93
Nd (0.3966, 0.3966, 0.3966)  9 C 2.63-2.93
Nd (0.5000, 0.0000, 0.1034)  9 C 2.63-2.93
Nd (0.5000, 0.0000, 0.6034)  9 C 2.63-2.93
Nd (0.6034, 0.5000, 0.0000)  9 C 2.63-2.93
Nd (0.8966, 0.8966, 0.8966)  9 C 2.63-2.93
C (0.0476, 0.7976, 0.2500)  1 C 1.33
C (0.2024, 0.9524, 0.2500)  1 C 1.33
C (0.2500, 0.0476, 0.7976)  1 C 1.33
C (0.2500, 0.2024, 0.9524)  1 C 1.33
C (0.2976, 0.5476, 0.7500)  1 C 1.33
C (0.4524, 0.7024, 0.7500)  1 C 1.33
C (0.5476, 0.7500, 0.2976)  1 C 1.33
C (0.7024, 0.7500, 0.4524)  1 C 1.33
C (0.7500, 0.2976, 0.5476)  1 C 1.33
C (0.7500, 0.4524, 0.7024)  1 C 1.33
C (0.7976, 0.2500, 0.0476)  1 C 1.33
C (0.9524, 0.2500, 0.2024)  1 C 1.33

***

VASP calculation (GGA-PBE) on an optimized crystal structure of NdC2.

- Energy: -7.86 eV/atom
- E above lowest polymorph: 0 meV/atom
- Symmetry: I4/mmm, No. 139
- Magnetization: 0.000 μB per atom
- V: 47.3 Å³/f.u.

Lattice parameters (Å, degrees): 3.8301 3.8301 6.4520 90.00 90.00 90.00
Closest atoms and distances in Å follow each position.
Fractional positions:
Nd (0.0000, 0.0000, 0.0000)  10 C 2.58-2.79
Nd (0.5000, 0.5000, 0.5000)  10 C 2.58-2.79
C (0.0000, 0.0000, 0.3994)  1 C 1.30
C (0.0000, 0.0000, 0.6006)  1 C 1.30
C (0.5000, 0.5000, 0.1006)  1 C 1.30
C (0.5000, 0.5000, 0.8994)  1 C 1.30

***

VASP calculation (GGA-PBE) on an optimized crystal structure of NdC.

- Energy: -6.68 eV/atom
- E above lowest polymorph: 0 meV/atom
- Symmetry: Fm-3m, No. 225
- Magnetization: 0.000 μB per atom
- V: 37.7 Å³/f.u.

Lattice parameters (Å, degrees): 5.3247 5.3247 5.3247 90.00 90.00 90.00
Closest atoms and distances in Å follow each position.
Fractional positions:
Nd (0.0000, 0.0000, 0.0000)  6 C 2.66
Nd (0.0000, 0.5000, 0.5000)  6 C 2.66
Nd (0.5000, 0.0000, 0.5000)  6 C 2.66
Nd (0.5000, 0.5000, 0.0000)  6 C 2.66
C (0.0000, 0.0000, 0.5000)  6 Nd 2.66
C (0.0000, 0.5000, 0.0000)  6 Nd 2.66
C (0.5000, 0.0000, 0.0000)  6 Nd 2.66
C (0.5000, 0.5000, 0.5000)  6 Nd 2.66